Record 1
First-principles (PBE) data for a geometry-optimized EuHg2Pb structure, as listed in Alexandria via LeMat-Bulk.

Output
Formation enthalpy at 0 K = -1.4 eV per formula unit
Space-group type = P4/mmm (123)

a b c (Å): 3.8982 3.8982 7.4616
angles (deg): 90.00 90.00 90.00
With the nearest neighbours (Å) after each atom.
Positions (direct):
Eu 0.5000 0.5000 0.0000  8 Hg 3.33
Pb 0.5000 0.5000 0.5000  8 Hg 3.33
Hg 0.0000 0.0000 0.7496  4 Pb 3.33, 4 Eu 3.33, 1 Hg 3.73
Hg 0.0000 0.0000 0.2504  4 Pb 3.33, 4 Eu 3.33, 1 Hg 3.73

Record 2
First-principles (PBE) data for a geometry-optimized EuHg4Pb structure, as listed in Alexandria via LeMat-Bulk.

Output
Formation enthalpy at 0 K = -1.2 eV per formula unit
Space-group type = F-43m (216)

a b c (Å): 6.1476 6.1476 6.1476
angles (deg): 60.00 60.00 60.00
With the nearest neighbours (Å) after each atom.
Positions (direct):
Hg 0.6250 0.1250 0.6250  6 Hg 3.07
Hg 0.6250 0.6250 0.6250  6 Hg 3.07
Hg 0.1250 0.6250 0.6250  6 Hg 3.07
Hg 0.6250 0.6250 0.1250  6 Hg 3.07
Eu 0.2500 0.2500 0.2500  12 Hg 3.60, 4 Pb 3.76
Pb 0.0000 0.0000 0.0000  12 Hg 3.60, 4 Eu 3.76

Record 3
First-principles (PBE) data for a geometry-optimized Eu2HgPb structure, as listed in Alexandria via LeMat-Bulk.

Output
Formation enthalpy at 0 K = -2.3 eV per formula unit
Space-group type = P4/mmm (123)

a b c (Å): 3.9322 5.6260 5.6260
angles (deg): 90.00 90.00 90.00
With the nearest neighbours (Å) after each atom.
Positions (direct):
Pb 0.5000 0.0000 0.0000  8 Eu 3.43
Eu 0.0000 0.5000 0.0000  4 Hg 3.43, 4 Pb 3.43
Eu 0.0000 0.0000 0.5000  4 Hg 3.43, 4 Pb 3.43
Hg 0.5000 0.5000 0.5000  8 Eu 3.43

Record 4
First-principles (PBE) data for a geometry-optimized EuHgPb4 structure, as listed in Alexandria via LeMat-Bulk.

Output
Formation enthalpy at 0 K = -0.6 eV per formula unit
Space-group type = F-43m (216)

a b c (Å): 6.5113 6.5113 6.5113
angles (deg): 60.00 60.00 60.00
With the nearest neighbours (Å) after each atom.
Positions (direct):
Pb 0.6254 0.6254 0.6254  6 Pb 3.24-3.27
Pb 0.1238 0.6254 0.6254  6 Pb 3.24-3.27
Pb 0.6254 0.6254 0.1238  6 Pb 3.24-3.27
Pb 0.6254 0.1238 0.6254  6 Pb 3.24-3.27
Hg 0.2500 0.2500 0.2500  12 Pb 3.82, 4 Eu 3.99
Eu 0.0000 0.0000 0.0000  12 Pb 3.82, 4 Hg 3.99

| no. | magnetic moment (μB per formula unit) |
| --- | --- |
| 1 | 7.1 |
| 2 | 7.4 |
| 3 | 14.2 |
| 4 | 7.2 |